No. 1
The following is a DFT calculation (PBE) of a geometry-optimized SiTeI2F structure.

- Energy above the lowest structure with this stoichiometry: 0.600 eV/atom
- E_form (uncorrected): 296 meV per atom
- Final energy: -2.41 eV/atom

Cell: 5.8987 5.8987 4.2231 Å, 90.00 90.00 90.00°
Last column: nearest neighbours and their distance in Å.
Fractional positions:
F: 0.0000 0.0000 0.0000  2 Te 2.11
I: 0.5000 0.0000 0.0000  2 F 2.95
I: 0.0000 0.5000 0.0000  2 F 2.95
Si: 0.5000 0.5000 0.5000  8 I 3.63
Te: 0.0000 0.0000 0.5000  2 F 2.11

=====

No. 2
The following is a DFT calculation (PBE) of a geometry-optimized Pm2Ge6Os structure.

- Energy above the lowest structure with this stoichiometry: 0.081 eV/atom
- Energy of formation: -281 meV per atom
- Final energy: -5.66 eV/atom

Cell: 4.3802 7.7188 6.7869 Å, 124.66 90.00 90.00°
Last column: nearest neighbours and their distance in Å.
Fractional positions:
Ge: 0.0000 0.8692 0.2747  3 Ge 2.53-2.70, 1 Os 2.58
Ge: 0.0000 0.5938 0.7255  3 Ge 2.53-2.70, 1 Os 2.58
Ge: 0.0000 0.4062 0.2745  3 Ge 2.53-2.70, 1 Os 2.58
Ge: 0.5000 0.7784 0.9996  4 Ge 2.70, 2 Os 2.78
Ge: 0.5000 0.2216 0.0004  4 Ge 2.70, 2 Os 2.78
Ge: 0.0000 0.1308 0.7253  3 Ge 2.53-2.70, 1 Os 2.58
Pm: 0.5000 0.2460 0.4917  10 Ge 3.11-3.25
Pm: 0.5000 0.7540 0.5083  10 Ge 3.11-3.25
Os: 0.0000 0.0000 0.0000  8 Ge 2.58-2.78

=====

No. 3
The following is a DFT calculation (PBE) of a geometry-optimized ScV2Fe2 structure.

- Energy above the lowest structure with this stoichiometry: 0.000 eV/atom
- Energy of formation: -104 meV per atom
- Final energy: -8.40 eV/atom

Cell: 3.9447 3.9447 5.4712 Å, 68.87 68.87 90.00°
Last column: nearest neighbours and their distance in Å.
Fractional positions:
Fe: 0.3829 0.3829 0.2341  1 Fe 2.20, 4 V 2.34
Fe: 0.6171 0.6171 0.7659  1 Fe 2.20, 4 V 2.34
V: 0.2500 0.7500 0.5000  4 Fe 2.34
V: 0.7500 0.2500 0.5000  4 Fe 2.34
Sc: 0.0000 0.0000 0.0000  8 Fe 3.00, 8 V 3.07

=====

No. 4
The following is a DFT calculation (PBE) of a geometry-optimized BIr3Cl structure.

- Energy above the lowest structure with this stoichiometry: 0.000 eV/atom
- E_form (uncorrected): 885 meV per atom
- Final energy: -6.14 eV/atom

Cell: 4.1848 4.1848 4.1848 Å, 90.00 90.00 90.00°
Last column: nearest neighbours and their distance in Å.
Fractional positions:
B: 0.0000 0.0000 0.0000  6 Ir 2.09
Cl: 0.5000 0.5000 0.5000  12 Ir 2.96
Ir: 0.0000 0.5000 0.0000  2 B 2.09
Ir: 0.0000 0.0000 0.5000  2 B 2.09
Ir: 0.5000 0.0000 0.0000  2 B 2.09

=====

No. 5
The following is a DFT calculation (PBE) of a geometry-optimized NaCuSbMo2 structure.

- E_form (uncorrected): 1369 meV per atom
- Final energy: -4.87 eV/atom

Cell: 4.8699 4.8645 4.8699 Å, 90.00 90.00 90.00°
Last column: nearest neighbours and their distance in Å.
Fractional positions:
Na: 0.5000 0.5000 0.5000  8 Mo 3.44, 4 Sb 3.44
Mo: 0.5000 0.0000 0.0000  2 Cu 2.43
Mo: 0.0000 0.0000 0.5000  2 Cu 2.43
Sb: 0.0000 0.5000 0.0000  2 Cu 2.43
Cu: 0.0000 0.0000 0.0000  2 Sb 2.43, 4 Mo 2.43

=====

No. 6
The following is a DFT calculation (PBE) of a geometry-optimized YThCdGa structure.

- Energy of formation: -339 meV per atom
- Final energy: -4.80 eV/atom

Cell: 5.2654 5.2654 5.2654 Å, 60.00 60.00 60.00°
Last column: nearest neighbours and their distance in Å.
Fractional positions:
Cd: 0.0000 0.0000 0.0000  4 Th 3.22, 4 Y 3.22
Ga: 0.5000 0.5000 0.5000  4 Y 3.22, 4 Th 3.22
Y: 0.7500 0.7500 0.7500  4 Ga 3.22, 4 Cd 3.22
Th: 0.2500 0.2500 0.2500  4 Cd 3.22, 4 Ga 3.22